1.
{"formula": "ErPaAg2O8", "functional": "PBE", "state": "optimized geometry", "m_tot_mub_per_atom": 0.00, "spacegroup": "I-4m2 (119)", "formation_energy_uncorrected_ev_per_atom": -1.481, "dft_energy_ev_per_atom": -6.43, "lattice": [[-3.641, 3.641, 3.442], [3.641, -3.641, 3.442], [3.641, 3.641, -3.442]], "species": ["Er", "Pa", "Ag", "Ag", "O", "O", "O", "O", "O", "O", "O", "O"], "fractional_positions": [[0.000, 0.000, 0.000], [0.750, 0.250, 0.500], [0.250, 0.750, 0.500], [0.500, 0.500, 0.000], [0.016, 0.335, 0.319], [0.016, 0.697, 0.681], [0.083, 0.269, 0.814], [0.303, 0.984, 0.319], [0.455, 0.269, 0.186], [0.665, 0.984, 0.681], [0.731, 0.545, 0.814], [0.731, 0.917, 0.186]]}

***

2.
{"formula": "Er2AgPdO5", "functional": "PBE", "state": "optimized geometry", "m_tot_mub_per_atom": 0.12, "spacegroup": "P4/mbm (127)", "formation_energy_uncorrected_ev_per_atom": -1.966, "dft_energy_ev_per_atom": -6.63, "lattice": [[6.475, 0.000, 0.000], [0.000, 6.475, 0.000], [0.000, 0.000, 5.757]], "species": ["Er", "Er", "Er", "Er", "Ag", "Ag", "Pd", "Pd", "O", "O", "O", "O", "O", "O", "O", "O", "O", "O"], "fractional_positions": [[0.173, 0.327, 0.000], [0.327, 0.827, 0.000], [0.673, 0.173, 0.000], [0.827, 0.673, 0.000], [0.000, 0.000, 0.500], [0.500, 0.500, 0.500], [0.000, 0.500, 0.500], [0.500, 0.000, 0.500], [0.000, 0.000, 0.000], [0.139, 0.639, 0.236], [0.139, 0.639, 0.764], [0.361, 0.139, 0.236], [0.361, 0.139, 0.764], [0.500, 0.500, 0.000], [0.639, 0.861, 0.236], [0.639, 0.861, 0.764], [0.861, 0.361, 0.236], [0.861, 0.361, 0.764]]}

***

3.
{"formula": "Er3Ag3PtO8", "functional": "PBE", "state": "optimized geometry", "m_tot_mub_per_atom": 0.00, "spacegroup": "C2/m (12)", "formation_energy_uncorrected_ev_per_atom": -1.811, "dft_energy_ev_per_atom": -6.34, "lattice": [[5.810, -3.355, 0.000], [5.810, 3.355, 0.000], [-3.885, 0.000, 5.772]], "species": ["Er", "Er", "Er", "Ag", "Ag", "Ag", "Pt", "O", "O", "O", "O", "O", "O", "O", "O"], "fractional_positions": [[0.000, 0.000, 0.000], [0.000, 0.500, 0.000], [0.500, 0.000, 0.000], [0.000, 0.500, 0.500], [0.500, 0.000, 0.500], [0.500, 0.500, 0.500], [0.500, 0.500, 0.000], [0.227, 0.227, 0.180], [0.258, 0.716, 0.190], [0.284, 0.284, 0.810], [0.284, 0.742, 0.810], [0.716, 0.258, 0.190], [0.716, 0.716, 0.190], [0.742, 0.284, 0.810], [0.773, 0.773, 0.820]]}

***

4.
{"formula": "ErPuAgO6", "functional": "PBE", "state": "optimized geometry", "m_tot_mub_per_atom": 0.22, "spacegroup": "P4_2nm (102)", "formation_energy_uncorrected_ev_per_atom": -2.107, "dft_energy_ev_per_atom": -7.83, "lattice": [[5.166, 0.000, 0.000], [0.000, 5.166, 0.000], [0.000, 0.000, 9.844]], "species": ["Er", "Er", "Pu", "Pu", "Ag", "Ag", "O", "O", "O", "O", "O", "O", "O", "O", "O", "O", "O", "O"], "fractional_positions": [[0.000, 0.000, 0.000], [0.500, 0.500, 0.500], [0.000, 0.000, 0.657], [0.500, 0.500, 0.157], [0.000, 0.000, 0.324], [0.500, 0.500, 0.824], [0.175, 0.175, 0.808], [0.189, 0.189, 0.507], [0.214, 0.214, 0.158], [0.286, 0.714, 0.658], [0.311, 0.689, 0.007], [0.325, 0.675, 0.308], [0.675, 0.325, 0.308], [0.689, 0.311, 0.007], [0.714, 0.286, 0.658], [0.786, 0.786, 0.158], [0.811, 0.811, 0.507], [0.825, 0.825, 0.808]]}

***

5.
{"formula": "ErPuAg2O6", "functional": "PBE", "state": "optimized geometry", "m_tot_mub_per_atom": 0.10, "spacegroup": "P4mm (99)", "formation_energy_uncorrected_ev_per_atom": -1.819, "dft_energy_ev_per_atom": -7.25, "lattice": [[5.902, 0.000, 0.000], [0.000, 5.902, 0.000], [0.000, 0.000, 4.334]], "species": ["Er", "Pu", "Ag", "Ag", "O", "O", "O", "O", "O", "O"], "fractional_positions": [[0.000, 0.000, 0.000], [0.500, 0.500, 0.002], [0.000, 0.500, 0.498], [0.500, 0.000, 0.498], [0.000, 0.000, 0.500], [0.267, 0.267, 0.002], [0.267, 0.733, 0.002], [0.500, 0.500, 0.502], [0.733, 0.267, 0.002], [0.733, 0.733, 0.002]]}

***

6.
{"formula": "ErPuAg2O8", "functional": "PBE", "state": "optimized geometry", "m_tot_mub_per_atom": 0.01, "spacegroup": "I-4m2 (119)", "formation_energy_uncorrected_ev_per_atom": -1.327, "dft_energy_ev_per_atom": -6.68, "lattice": [[-3.388, 3.388, 3.733], [3.388, -3.388, 3.733], [3.388, 3.388, -3.733]], "species": ["Er", "Pu", "Ag", "Ag", "O", "O", "O", "O", "O", "O", "O", "O"], "fractional_positions": [[0.000, 0.000, 0.000], [0.750, 0.250, 0.500], [0.250, 0.750, 0.500], [0.500, 0.500, 0.000], [0.031, 0.357, 0.326], [0.031, 0.705, 0.674], [0.058, 0.269, 0.789], [0.295, 0.969, 0.326], [0.481, 0.269, 0.211], [0.643, 0.969, 0.674], [0.731, 0.519, 0.789], [0.731, 0.942, 0.211]]}

***

7.
{"formula": "Er2PuAgO6", "functional": "PBE", "state": "optimized geometry", "m_tot_mub_per_atom": 0.30, "spacegroup": "R3 (146)", "formation_energy_uncorrected_ev_per_atom": -2.722, "dft_energy_ev_per_atom": -8.33, "lattice": [[2.903, 1.676, 5.136], [-2.903, 1.676, 5.136], [0.000, -3.352, 5.136]], "species": ["Er", "Er", "Pu", "Ag", "O", "O", "O", "O", "O", "O"], "fractional_positions": [[0.000, 0.000, 0.000], [0.485, 0.485, 0.485], [0.793, 0.793, 0.793], [0.262, 0.262, 0.262], [0.072, 0.403, 0.719], [0.179, 0.847, 0.632], [0.403, 0.719, 0.072], [0.632, 0.179, 0.847], [0.719, 0.072, 0.403], [0.847, 0.632, 0.179]]}

***

8.
{"formula": "Er2PuAgO8", "functional": "PBE", "state": "optimized geometry", "m_tot_mub_per_atom": 0.08, "spacegroup": "P-1 (2)", "formation_energy_uncorrected_ev_per_atom": -2.342, "dft_energy_ev_per_atom": -7.84, "lattice": [[4.994, 0.000, 0.000], [0.368, 4.981, 0.000], [0.597, 0.562, 6.990]], "species": ["Er", "Er", "Pu", "Ag", "O", "O", "O", "O", "O", "O", "O", "O"], "fractional_positions": [[0.033, 0.033, 0.237], [0.967, 0.967, 0.763], [0.500, 0.500, 0.500], [0.500, 0.500, 0.000], [0.199, 0.799, 0.000], [0.205, 0.793, 0.500], [0.288, 0.285, 0.676], [0.337, 0.335, 0.255], [0.663, 0.665, 0.745], [0.712, 0.715, 0.324], [0.795, 0.207, 0.500], [0.801, 0.201, 0.000]]}

***

9.
{"formula": "ErPu2AgO8", "functional": "PBE", "state": "optimized geometry", "m_tot_mub_per_atom": 0.03, "spacegroup": "I-4m2 (119)", "formation_energy_uncorrected_ev_per_atom": -1.977, "dft_energy_ev_per_atom": -8.29, "lattice": [[-3.676, 3.676, 3.617], [3.676, -3.676, 3.617], [3.676, 3.676, -3.617]], "species": ["Er", "Pu", "Pu", "Ag", "O", "O", "O", "O", "O", "O", "O", "O"], "fractional_positions": [[0.000, 0.000, 0.000], [0.250, 0.750, 0.500], [0.500, 0.500, 0.000], [0.750, 0.250, 0.500], [0.073, 0.369, 0.296], [0.073, 0.777, 0.704], [0.119, 0.297, 0.823], [0.223, 0.927, 0.296], [0.474, 0.297, 0.177], [0.631, 0.927, 0.704], [0.703, 0.526, 0.823], [0.703, 0.881, 0.177]]}

***

10.
{"formula": "Er3Ag3RuO8", "functional": "PBE", "state": "optimized geometry", "m_tot_mub_per_atom": 0.13, "spacegroup": "C2/m (12)", "formation_energy_uncorrected_ev_per_atom": -1.858, "dft_energy_ev_per_atom": -6.60, "lattice": [[5.795, -3.347, 0.000], [5.795, 3.347, 0.000], [-3.880, 0.000, 5.762]], "species": ["Er", "Er", "Er", "Ag", "Ag", "Ag", "Ru", "O", "O", "O", "O", "O", "O", "O", "O"], "fractional_positions": [[0.000, 0.000, 0.000], [0.000, 0.500, 0.000], [0.500, 0.000, 0.000], [0.000, 0.500, 0.500], [0.500, 0.000, 0.500], [0.500, 0.500, 0.500], [0.500, 0.500, 0.000], [0.228, 0.228, 0.185], [0.258, 0.715, 0.187], [0.285, 0.285, 0.813], [0.285, 0.742, 0.813], [0.715, 0.258, 0.187], [0.715, 0.715, 0.187], [0.742, 0.285, 0.813], [0.772, 0.772, 0.815]]}

***

11.
{"formula": "ErAgSO", "functional": "PBE", "state": "optimized geometry", "m_tot_mub_per_atom": 0.00, "spacegroup": "R-3m (166)", "formation_energy_uncorrected_ev_per_atom": -1.950, "dft_energy_ev_per_atom": -6.07, "lattice": [[1.946, 1.123, 10.601], [-1.946, 1.123, 10.601], [0.000, -2.247, 10.601]], "species": ["Er", "Er", "Ag", "Ag", "S", "S", "O", "O"], "fractional_positions": [[0.123, 0.123, 0.123], [0.877, 0.877, 0.877], [0.306, 0.306, 0.306], [0.694, 0.694, 0.694], [0.400, 0.400, 0.400], [0.600, 0.600, 0.600], [0.193, 0.193, 0.193], [0.807, 0.807, 0.807]]}

***

12.
{"formula": "ErAgSeO4", "functional": "PBE", "state": "optimized geometry", "m_tot_mub_per_atom": 0.00, "spacegroup": "Imma (74)", "formation_energy_uncorrected_ev_per_atom": -1.546, "dft_energy_ev_per_atom": -5.94, "lattice": [[-3.515, 3.604, 4.125], [3.515, -3.604, 4.125], [3.515, 3.604, -4.125]], "species": ["Er", "Er", "Ag", "Ag", "Se", "Se", "O", "O", "O", "O", "O", "O", "O", "O"], "fractional_positions": [[0.500, 0.000, 0.000], [0.500, 0.500, 0.500], [0.000, 0.000, 0.000], [0.500, 0.000, 0.500], [0.091, 0.341, 0.750], [0.909, 0.659, 0.250], [0.217, 0.275, 0.558], [0.217, 0.659, 0.942], [0.299, 0.748, 0.552], [0.304, 0.252, 0.052], [0.696, 0.748, 0.948], [0.701, 0.252, 0.448], [0.783, 0.341, 0.058], [0.783, 0.725, 0.442]]}

***

Repeat the third record exactly.
{"formula": "Er3Ag3PtO8", "functional": "PBE", "state": "optimized geometry", "m_tot_mub_per_atom": 0.00, "spacegroup": "C2/m (12)", "formation_energy_uncorrected_ev_per_atom": -1.811, "dft_energy_ev_per_atom": -6.34, "lattice": [[5.810, -3.355, 0.000], [5.810, 3.355, 0.000], [-3.885, 0.000, 5.772]], "species": ["Er", "Er", "Er", "Ag", "Ag", "Ag", "Pt", "O", "O", "O", "O", "O", "O", "O", "O"], "fractional_positions": [[0.000, 0.000, 0.000], [0.000, 0.500, 0.000], [0.500, 0.000, 0.000], [0.000, 0.500, 0.500], [0.500, 0.000, 0.500], [0.500, 0.500, 0.500], [0.500, 0.500, 0.000], [0.227, 0.227, 0.180], [0.258, 0.716, 0.190], [0.284, 0.284, 0.810], [0.284, 0.742, 0.810], [0.716, 0.258, 0.190], [0.716, 0.716, 0.190], [0.742, 0.284, 0.810], [0.773, 0.773, 0.820]]}

***

Copy entry 7 word for word.
{"formula": "Er2PuAgO6", "functional": "PBE", "state": "optimized geometry", "m_tot_mub_per_atom": 0.30, "spacegroup": "R3 (146)", "formation_energy_uncorrected_ev_per_atom": -2.722, "dft_energy_ev_per_atom": -8.33, "lattice": [[2.903, 1.676, 5.136], [-2.903, 1.676, 5.136], [0.000, -3.352, 5.136]], "species": ["Er", "Er", "Pu", "Ag", "O", "O", "O", "O", "O", "O"], "fractional_positions": [[0.000, 0.000, 0.000], [0.485, 0.485, 0.485], [0.793, 0.793, 0.793], [0.262, 0.262, 0.262], [0.072, 0.403, 0.719], [0.179, 0.847, 0.632], [0.403, 0.719, 0.072], [0.632, 0.179, 0.847], [0.719, 0.072, 0.403], [0.847, 0.632, 0.179]]}